(1)
{"formula": "HoZnNi", "functional": "GGA-PBE", "state": "optimized geometry", "spacegroup": "No. 187", "n_ef_per_ev_cell": 3.25, "delta_e_f_ev_per_atom": -0.39, "lattice": [[4.236, 0.000, 0.000], [-2.118, 3.669, 0.000], [0.000, 0.000, 3.553]], "species": ["Ho", "Zn", "Ni"], "fractional_positions": [[0.000, 0.000, 0.000], [0.667, 0.333, 0.500], [0.333, 0.667, 0.500]]}

(2)
{"formula": "Ho5Zn4Ni", "functional": "GGA-PBE", "state": "optimized geometry", "spacegroup": "No. 123", "n_ef_per_ev_cell": 8.50, "delta_e_f_ev_per_atom": -0.36, "lattice": [[3.511, 0.000, 0.000], [0.000, 3.511, 0.000], [0.000, 0.000, 17.571]], "species": ["Ho", "Ho", "Ho", "Ho", "Ho", "Zn", "Zn", "Zn", "Zn", "Ni"], "fractional_positions": [[0.000, 0.000, 0.000], [0.000, 0.000, 0.204], [0.000, 0.000, 0.408], [0.000, 0.000, 0.592], [0.000, 0.000, 0.796], [0.500, 0.500, 0.103], [0.500, 0.500, 0.304], [0.500, 0.500, 0.696], [0.500, 0.500, 0.897], [0.500, 0.500, 0.500]]}